Compound: Zr2MnSe2
Source: Alexandria via LeMat-Bulk
Functional: PBE-GGA
Structure: relaxed

Values from the calculation:
Raw formation energy (eV/atom): -0.731
Crystal system: triclinic
ρ (g/cm3): 6.43

Cell lengths 5.251, 5.464, 7.701 Å; angles 84.69, 74.20, 73.92 degrees
Sites, in units of the cell vectors:
1 Zr 0.554 0.885 0.456
2 Zr 0.799 0.304 0.633
3 Zr 0.899 0.241 0.043
4 Zr 0.057 0.731 0.748
5 Mn 0.513 0.809 0.807
6 Mn 0.262 0.164 0.753
7 Se 0.049 0.990 0.345
8 Se 0.362 0.410 0.462
9 Se 0.708 0.784 0.074
10 Se 0.389 0.412 0.952

---

Compound: ZrMnSe
Source: Alexandria via LeMat-Bulk
Functional: PBE-GGA
Structure: relaxed

Values from the calculation:
Raw formation energy (eV/atom): -0.348
Crystal system: tetragonal
ρ (g/cm3): 6.94

Cell lengths 5.203, 5.203, 3.420 Å; angles 70.81, 70.81, 38.38 degrees
Sites, in units of the cell vectors:
1 Mn 0.009 0.009 0.991
2 Se 0.658 0.658 0.342
3 Zr 0.333 0.333 0.667

---

Compound: ZrMnSe
Source: Alexandria via LeMat-Bulk
Functional: PBE-GGA
Structure: relaxed

Values from the calculation:
Raw formation energy (eV/atom): -0.248
Crystal system: cubic
ρ (g/cm3): 7.13

Cell lengths 4.202, 4.202, 4.202 Å; angles 60.00, 60.00, 60.00 degrees
Sites, in units of the cell vectors:
1 Mn 0.750 0.750 0.750
2 Se 0.000 0.000 0.000
3 Zr 0.500 0.500 0.500

---

Compound: ZrMnSe2
Source: Alexandria via LeMat-Bulk
Functional: PBE-GGA
Structure: relaxed

Values from the calculation:
Raw formation energy (eV/atom): -0.685
Crystal system: monoclinic
ρ (g/cm3): 6.51

Cell lengths 3.447, 3.447, 6.834 Å; angles 72.74, 90.00, 90.00 degrees
Sites, in units of the cell vectors:
1 Mn 0.500 0.750 0.750
2 Se 0.000 0.871 0.012
3 Se 0.000 0.629 0.488
4 Zr 0.500 0.250 0.250

---

Compound: ZrMnSe
Source: Alexandria via LeMat-Bulk
Functional: PBE-GGA
Structure: relaxed

Values from the calculation:
Raw formation energy (eV/atom): -0.625
Crystal system: trigonal
ρ (g/cm3): 5.80

Cell lengths 3.694, 3.694, 11.106 Å; angles 80.43, 80.43, 60.00 degrees
Sites, in units of the cell vectors:
1 Zr 0.563 0.563 0.310
2 Zr 0.437 0.437 0.690
3 Se 0.280 0.280 0.161
4 Se 0.720 0.720 0.839
5 Mn 0.837 0.837 0.489
6 Mn 0.163 0.163 0.511

---

Compound: Zr2MnSe
Source: Alexandria via LeMat-Bulk
Functional: PBE-GGA
Structure: relaxed

Values from the calculation:
Raw formation energy (eV/atom): -0.348
Crystal system: orthorhombic
ρ (g/cm3): 7.15

Cell lengths 4.707, 4.612, 3.385 Å; angles 90.00, 90.00, 90.00 degrees
Sites, in units of the cell vectors:
1 Mn 0.500 0.000 0.500
2 Se 0.000 0.500 0.500
3 Zr 0.000 0.000 0.000
4 Zr 0.500 0.500 0.000

---

Compound: Zr3MnSe
Source: Alexandria via LeMat-Bulk
Functional: PBE-GGA
Structure: relaxed

Values from the calculation:
Raw formation energy (eV/atom): 0.169
Crystal system: cubic
ρ (g/cm3): 6.03

Cell lengths 4.823, 4.823, 4.823 Å; angles 90.00, 90.00, 90.00 degrees
Sites, in units of the cell vectors:
1 Mn 0.000 0.000 0.000
2 Se 0.500 0.500 0.500
3 Zr 0.000 0.500 0.000
4 Zr 0.000 0.000 0.500
5 Zr 0.500 0.000 0.000

---

Compound: ZrMnSe3
Source: Alexandria via LeMat-Bulk
Functional: PBE-GGA
Structure: relaxed

Values from the calculation:
Raw formation energy (eV/atom): -0.886
Crystal system: monoclinic
ρ (g/cm3): 5.19

Cell lengths 6.596, 6.820, 6.634 Å; angles 80.37, 69.76, 61.08 degrees
Sites, in units of the cell vectors:
1 Zr 0.160 0.679 0.000
2 Zr 0.840 0.321 0.000
3 Mn 0.335 0.330 0.500
4 Mn 0.665 0.670 0.500
5 Se 0.745 0.000 0.248
6 Se 0.255 0.000 0.752
7 Se 0.066 0.358 0.253
8 Se 0.576 0.358 0.747
9 Se 0.934 0.642 0.747
10 Se 0.424 0.642 0.253

---

Q: The lowest ρ belongs to which entry?
A: ZrMnSe3

---

Q: What is the raw formation energy in the second record?
A: -0.348 eV/atom

---

Q: Which value of raw formation energy does entry 6 give?
A: -0.348 eV/atom

---

Q: Which of these has the lowest ρ?
A: ZrMnSe3